No. 1
A plane-wave DFT calculation with GGA-PBEsol was carried out for a geometry-optimized ZrSc2Ir structure.

a = 4.7105 Å, b = 4.7105 Å, c = 4.7105 Å
α = 60.00°, β = 60.00°, γ = 60.00°
Closest atoms and distances in Å follow each position.
Fractional positions:
Ir 0.5000 0.5000 0.5000  4 Sc 2.88, 4 Zr 2.88
Sc 0.0000 0.0000 0.0000  4 Zr 2.88, 4 Sc 2.88
Sc 0.2500 0.2500 0.2500  4 Ir 2.88, 4 Sc 2.88
Zr 0.7500 0.7500 0.7500  4 Sc 2.88, 4 Ir 2.88

Computed properties:
Excess energy over the best structure of this formula in the dataset = 13.0 kJ/mol of atoms
Theoretical density = 8.388 g/cm3
DFT total energy = -0.6193 Ry/atom
ΔE_f = -0.395 eV per atom
SG = No. 216

---

No. 2
A plane-wave DFT calculation with GGA-PBEsol was carried out for a geometry-optimized Zr2ScIr structure.

a = 3.3569 Å, b = 4.7446 Å, c = 5.6590 Å
α = 114.78°, β = 107.25°, γ = 90.00°
Closest atoms and distances in Å follow each position.
Fractional positions:
Sc 0.2221 0.7221 0.4443  2 Ir 2.74, 4 Zr 2.95
Ir 0.4988 0.4988 0.9976  6 Zr 2.73-2.91, 2 Sc 2.74
Zr 0.0020 0.0020 0.0039  4 Ir 2.91, 4 Zr 3.16-3.22, 4 Sc 3.19
Zr 0.7771 0.2771 0.5542  2 Ir 2.73, 4 Sc 2.95

Computed properties:
Excess energy over the best structure of this formula in the dataset = 2.1 kJ/mol of atoms
Theoretical density = 9.010 g/cm3
DFT total energy = -0.6706 Ry/atom
ΔE_f = -0.472 eV per atom
SG = No. 44

---

No. 3
A plane-wave DFT calculation with GGA-PBEsol was carried out for a geometry-optimized Zr2ScIr structure.

a = 3.2515 Å, b = 4.7307 Å, c = 4.8443 Å
α = 90.00°, β = 90.00°, γ = 90.00°
Closest atoms and distances in Å follow each position.
Fractional positions:
Ir 0.5000 0.0000 0.5000  4 Sc 2.87, 4 Zr 2.92
Sc 0.0000 0.5000 0.5000  4 Ir 2.87, 4 Zr 2.92
Zr 0.0000 0.0000 0.0000  4 Zr 2.87, 4 Ir 2.92
Zr 0.5000 0.5000 0.0000  4 Zr 2.87, 4 Sc 2.92

Computed properties:
Excess energy over the best structure of this formula in the dataset = 13.8 kJ/mol of atoms
Theoretical density = 9.351 g/cm3
DFT total energy = -0.6618 Ry/atom
ΔE_f = -0.352 eV per atom
SG = No. 47

---

No. 4
A plane-wave DFT calculation with GGA-PBEsol was carried out for a geometry-optimized ZrScIr2 structure.

a = 3.8426 Å, b = 3.8426 Å, c = 5.3149 Å
α = 111.19°, β = 111.19°, γ = 90.00°
Closest atoms and distances in Å follow each position.
Fractional positions:
Ir 0.0000 0.0000 0.0000  4 Sc 2.72, 4 Zr 2.98, 4 Ir 2.98
Ir 0.7500 0.2500 0.5000  4 Zr 2.72, 4 Sc 2.98, 4 Ir 2.98
Sc 0.5000 0.5000 0.0000  8 Ir 2.72-2.98, 4 Zr 2.98
Zr 0.2500 0.7500 0.5000  8 Ir 2.72-2.98, 4 Sc 2.98

Computed properties:
Theoretical density = 12.818 g/cm3
DFT total energy = -0.7024 Ry/atom
ΔE_f = -0.721 eV per atom
SG = No. 119